# 1
# SrAg3Pd2 | Alexandria via LeMat-Bulk | PBE | relaxed
# E above lowest polymorph, meV/atom: 0.0
# Crystal system: hexagonal
data_SrAg3Pd2
_cell_length_a 5.6238
_cell_length_b 5.6238
_cell_length_c 4.5766
_cell_angle_alpha 90.00
_cell_angle_beta 90.00
_cell_angle_gamma 120.00
_space_group_name_H-M_alt 'P 6/m m m'
_space_group_IT_number 191
_space_group_name_Hall '-P 6 2'
loop_
_atom_site_label
_atom_site_type_symbol
_atom_site_fract_x
_atom_site_fract_y
_atom_site_fract_z
Sr1 Sr 0.0000 0.0000 0.0000
Ag1 Ag 0.0000 0.5000 0.5000
Pd1 Pd 0.3333 0.6667 0.0000

=====

# 2
# SrAg8Pd2 | Alexandria via LeMat-Bulk | PBE | relaxed
# Calculated total energy, eV/f.u.: -32.4
# Crystal system: tetragonal
data_SrAg8Pd2
_cell_length_a 5.647
_cell_length_b 5.647
_cell_length_c 8.832
_cell_angle_alpha 90.00
_cell_angle_beta 90.00
_cell_angle_gamma 90.00
_space_group_name_H-M_alt 'P 4/m m m'
_space_group_IT_number 123
_space_group_name_Hall '-P 4 2'
loop_
_atom_site_label
_atom_site_type_symbol
_atom_site_fract_x
_atom_site_fract_y
_atom_site_fract_z
Sr1 Sr 0.000 0.000 0.000
Ag1 Ag 0.251 0.251 0.289
Pd1 Pd 0.000 0.500 0.500

=====

# 3
# Sr3Ag9Pd2 | Alexandria via LeMat-Bulk | PBE | relaxed
# Calculated total energy, eV/f.u.: -44.5
# Crystal system: orthorhombic
data_Sr3Ag9Pd2
_cell_length_a 4.630
_cell_length_b 10.146
_cell_length_c 13.594
_cell_angle_alpha 90.00
_cell_angle_beta 90.00
_cell_angle_gamma 90.00
_space_group_name_H-M_alt 'I m m m'
_space_group_IT_number 71
_space_group_name_Hall '-I 2 2'
loop_
_atom_site_label
_atom_site_type_symbol
_atom_site_fract_x
_atom_site_fract_y
_atom_site_fract_z
Sr1 Sr 0.000 0.000 0.000
Sr2 Sr 0.000 0.000 0.317
Ag1 Ag 0.000 0.276 0.119
Ag2 Ag 0.000 0.360 0.326
Ag3 Ag 0.000 0.500 0.000
Pd1 Pd 0.000 0.200 0.500

=====

# 4
# Sr3Ag8Pd | Alexandria via LeMat-Bulk | PBE | relaxed
# Calculated total energy, eV/f.u.: -35.2
# Crystal system: trigonal
data_Sr3Ag8Pd
_cell_length_a 5.7688
_cell_length_b 5.7688
_cell_length_c 28.6281
_cell_angle_alpha 90.00
_cell_angle_beta 90.00
_cell_angle_gamma 120.00
_space_group_name_H-M_alt 'R 3 m'
_space_group_IT_number 160
_space_group_name_Hall 'R 3 -2"'
loop_
_atom_site_label
_atom_site_type_symbol
_atom_site_fract_x
_atom_site_fract_y
_atom_site_fract_z
Sr1 Sr 0.0000 0.0000 0.0000
Sr2 Sr 0.0000 0.0000 0.1309
Sr3 Sr 0.0000 0.0000 0.5229
Ag1 Ag 0.0000 0.0000 0.3197
Ag2 Ag 0.0000 0.0000 0.8202
Ag3 Ag 0.1678 0.3356 0.4013
Ag4 Ag 0.1683 0.3366 0.9049
Pd1 Pd 0.0000 0.0000 0.6445

=====

# 5
# Sr4Ag3Pd | Alexandria via LeMat-Bulk | PBE | relaxed
# Calculated total energy, eV/f.u.: -23.6
# Crystal system: orthorhombic
data_Sr4Ag3Pd
_cell_length_a 4.406
_cell_length_b 4.760
_cell_length_c 11.832
_cell_angle_alpha 90.00
_cell_angle_beta 90.00
_cell_angle_gamma 90.00
_space_group_name_H-M_alt 'P m m 2'
_space_group_IT_number 25
loop_
_space_group_symop_operation_xyz
'x,y,z'
'-x,-y,z'
'-x,y,z'
'x,-y,z'
loop_
_atom_site_label
_atom_site_type_symbol
_atom_site_fract_x
_atom_site_fract_y
_atom_site_fract_z
Sr1 Sr 0.000 0.000 0.000
Sr2 Sr 0.000 0.500 0.266
Sr3 Sr 0.500 0.000 0.478
Sr4 Sr 0.500 0.500 0.771
Ag1 Ag 0.000 0.000 0.699
Ag2 Ag 0.000 0.500 0.556
Ag3 Ag 0.500 0.500 0.061
Pd1 Pd 0.500 0.000 0.202

=====

# 6
# SrAgPd2 | Alexandria via LeMat-Bulk | PBE | relaxed
# E above lowest polymorph, meV/atom: 88.2
# Crystal system: cubic
data_SrAgPd2
_cell_length_a 6.902
_cell_length_b 6.902
_cell_length_c 6.902
_cell_angle_alpha 90.00
_cell_angle_beta 90.00
_cell_angle_gamma 90.00
_space_group_name_H-M_alt 'F m -3 m'
_space_group_IT_number 225
_space_group_name_Hall '-F 4 2 3'
loop_
_atom_site_label
_atom_site_type_symbol
_atom_site_fract_x
_atom_site_fract_y
_atom_site_fract_z
Sr1 Sr 0.000 0.000 0.000
Ag1 Ag 0.000 0.000 0.500
Pd1 Pd 0.250 0.250 0.250

=====

DOS(E_F) / states/eV/cell: 2.211 3.351 10.825 21.898 4.820 3.321